# 1
Material: PmZrPdRu
Method: DFT, PBE-GGA
State: relaxed

CIF file:
```
data_PmZrPdRu
_chemical_formula_sum 'Pm1 Zr1 Pd1 Ru1'
_cell_length_a 4.843
_cell_length_b 4.843
_cell_length_c 4.843
_cell_angle_alpha 60.00
_cell_angle_beta 60.00
_cell_angle_gamma 60.00
_space_group_name_H-M_alt 'P 1'
_space_group_IT_number 1
loop_
_space_group_symop_operation_xyz
'x,y,z'
loop_
_atom_site_label
_atom_site_type_symbol
_atom_site_fract_x
_atom_site_fract_y
_atom_site_fract_z
Zr1 Zr 0.500 0.500 0.500
Ru1 Ru 0.250 0.250 0.250
Pd1 Pd 0.750 0.750 0.750
Pm1 Pm 0.000 0.000 0.000
```

Summary:
formation enthalpy at 0 K = -458 meV/atom
calculated total energy = -29.6 eV per formula unit



# 2
Material: Ce3Ge5S12
Method: DFT, PBE-GGA
State: relaxed

CIF file:
```
data_Ce3Ge5S12
_chemical_formula_sum 'Ce12 Ge20 S48'
_cell_length_a 13.431
_cell_length_b 13.431
_cell_length_c 13.431
_cell_angle_alpha 109.47
_cell_angle_beta 109.47
_cell_angle_gamma 109.47
_space_group_name_H-M_alt 'P 1'
_space_group_IT_number 1
loop_
_space_group_symop_operation_xyz
'x,y,z'
loop_
_atom_site_label
_atom_site_type_symbol
_atom_site_fract_x
_atom_site_fract_y
_atom_site_fract_z
Ge1 Ge 0.000 0.500 0.500
Ge2 Ge 0.500 0.000 0.000
Ge3 Ge 0.375 0.250 0.125
Ge4 Ge 0.000 0.500 0.000
Ge5 Ge 0.625 0.750 0.875
Ge6 Ge 0.750 0.125 0.875
Ge7 Ge 0.500 0.500 0.500
Ge8 Ge 0.125 0.375 0.250
Ge9 Ge 0.875 0.250 0.625
Ge10 Ge 0.625 0.875 0.250
Ge11 Ge 0.500 0.500 0.000
Ge12 Ge 0.000 0.000 0.000
Ge13 Ge 0.875 0.625 0.750
Ge14 Ge 0.500 0.000 0.500
Ge15 Ge 0.250 0.875 0.125
Ge16 Ge 0.125 0.750 0.375
Ge17 Ge 0.000 0.000 0.500
Ge18 Ge 0.375 0.125 0.750
Ge19 Ge 0.250 0.375 0.625
Ge20 Ge 0.750 0.625 0.375
S1 S 0.183 0.095 0.967
S2 S 0.317 0.533 0.405
S3 S 0.412 0.128 0.595
S4 S 0.588 0.716 0.683
S5 S 0.905 0.088 0.872
S6 S 0.716 0.128 0.033
S7 S 0.095 0.183 0.467
S8 S 0.872 0.284 0.467
S9 S 0.967 0.372 0.284
S10 S 0.716 0.588 0.183
S11 S 0.467 0.784 0.872
S12 S 0.912 0.817 0.784
S13 S 0.683 0.467 0.595
S14 S 0.595 0.628 0.412
S15 S 0.784 0.317 0.912
S16 S 0.183 0.088 0.716
S17 S 0.588 0.872 0.405
S18 S 0.372 0.405 0.088
S19 S 0.784 0.467 0.372
S20 S 0.033 0.405 0.817
S21 S 0.628 0.033 0.216
S22 S 0.467 0.683 0.095
S23 S 0.095 0.912 0.128
S24 S 0.284 0.412 0.817
S25 S 0.216 0.683 0.088
S26 S 0.817 0.905 0.033
S27 S 0.088 0.183 0.216
S28 S 0.033 0.628 0.716
S29 S 0.216 0.533 0.628
S30 S 0.912 0.095 0.628
S31 S 0.533 0.317 0.905
S32 S 0.372 0.967 0.784
S33 S 0.967 0.595 0.183
S34 S 0.817 0.912 0.284
S35 S 0.872 0.588 0.905
S36 S 0.128 0.412 0.095
S37 S 0.628 0.595 0.912
S38 S 0.284 0.872 0.967
S39 S 0.405 0.033 0.317
S40 S 0.683 0.216 0.588
S41 S 0.595 0.967 0.683
S42 S 0.533 0.216 0.128
S43 S 0.905 0.817 0.533
S44 S 0.412 0.284 0.317
S45 S 0.088 0.905 0.372
S46 S 0.405 0.372 0.588
S47 S 0.317 0.784 0.412
S48 S 0.128 0.716 0.533
Ce1 Ce 0.250 0.625 0.875
Ce2 Ce 0.625 0.375 0.750
Ce3 Ce 0.250 0.125 0.375
Ce4 Ce 0.875 0.125 0.250
Ce5 Ce 0.375 0.625 0.250
Ce6 Ce 0.875 0.750 0.125
Ce7 Ce 0.625 0.250 0.375
Ce8 Ce 0.125 0.250 0.875
Ce9 Ce 0.375 0.750 0.625
Ce10 Ce 0.750 0.875 0.625
Ce11 Ce 0.125 0.875 0.750
Ce12 Ce 0.750 0.375 0.125
```

Summary:
calculated total energy = -108.4 eV per formula unit
ΔE_f (raw) = -18.0 eV/f.u.



# 3
Material: TiAlCoTc
Method: DFT, PBE-GGA
State: relaxed

CIF file:
```
data_TiAlCoTc
_chemical_formula_sum 'Ti1 Al1 Co1 Tc1'
_cell_length_a 3.076
_cell_length_b 4.137
_cell_length_c 4.258
_cell_angle_alpha 90.00
_cell_angle_beta 90.00
_cell_angle_gamma 90.00
_space_group_name_H-M_alt 'P 1'
_space_group_IT_number 1
loop_
_space_group_symop_operation_xyz
'x,y,z'
loop_
_atom_site_label
_atom_site_type_symbol
_atom_site_fract_x
_atom_site_fract_y
_atom_site_fract_z
Ti1 Ti 0.000 0.000 0.000
Co1 Co 0.500 0.000 0.500
Tc1 Tc 0.500 0.500 0.000
Al1 Al 0.000 0.500 0.500
```

Summary:
formation enthalpy at 0 K = -499 meV/atom
calculated total energy = -31.1 eV per formula unit



# 4
Material: Y3UGa12
Method: DFT, PBE-GGA
State: relaxed

CIF file:
```
data_Y3UGa12
_chemical_formula_sum 'Y3 U1 Ga12'
_cell_length_a 4.257
_cell_length_b 4.257
_cell_length_c 17.213
_cell_angle_alpha 90.00
_cell_angle_beta 90.00
_cell_angle_gamma 90.00
_space_group_name_H-M_alt 'P 1'
_space_group_IT_number 1
loop_
_space_group_symop_operation_xyz
'x,y,z'
loop_
_atom_site_label
_atom_site_type_symbol
_atom_site_fract_x
_atom_site_fract_y
_atom_site_fract_z
Ga1 Ga 0.000 0.500 0.375
Ga2 Ga 0.500 0.500 0.500
Ga3 Ga 0.500 0.000 0.876
Ga4 Ga 0.500 0.500 0.751
Ga5 Ga 0.000 0.500 0.876
Ga6 Ga 0.500 0.500 0.000
Ga7 Ga 0.500 0.500 0.249
Ga8 Ga 0.000 0.500 0.625
Ga9 Ga 0.500 0.000 0.625
Ga10 Ga 0.500 0.000 0.124
Ga11 Ga 0.000 0.500 0.124
Ga12 Ga 0.500 0.000 0.375
U1 U 0.000 0.000 0.000
Y1 Y 0.000 0.000 0.250
Y2 Y 0.000 0.000 0.750
Y3 Y 0.000 0.000 0.500
```

Summary:
formation enthalpy at 0 K = -463 meV/atom
calculated total energy = -74.4 eV per formula unit



- The lowest calculated total energy belongs to which entry?
  Ce3Ge5S12



What did the fourth record say?
Material: Y3UGa12
Method: DFT, PBE-GGA
State: relaxed

CIF file:
```
data_Y3UGa12
_chemical_formula_sum 'Y3 U1 Ga12'
_cell_length_a 4.257
_cell_length_b 4.257
_cell_length_c 17.213
_cell_angle_alpha 90.00
_cell_angle_beta 90.00
_cell_angle_gamma 90.00
_space_group_name_H-M_alt 'P 1'
_space_group_IT_number 1
loop_
_space_group_symop_operation_xyz
'x,y,z'
loop_
_atom_site_label
_atom_site_type_symbol
_atom_site_fract_x
_atom_site_fract_y
_atom_site_fract_z
Ga1 Ga 0.000 0.500 0.375
Ga2 Ga 0.500 0.500 0.500
Ga3 Ga 0.500 0.000 0.876
Ga4 Ga 0.500 0.500 0.751
Ga5 Ga 0.000 0.500 0.876
Ga6 Ga 0.500 0.500 0.000
Ga7 Ga 0.500 0.500 0.249
Ga8 Ga 0.000 0.500 0.625
Ga9 Ga 0.500 0.000 0.625
Ga10 Ga 0.500 0.000 0.124
Ga11 Ga 0.000 0.500 0.124
Ga12 Ga 0.500 0.000 0.375
U1 U 0.000 0.000 0.000
Y1 Y 0.000 0.000 0.250
Y2 Y 0.000 0.000 0.750
Y3 Y 0.000 0.000 0.500
```

Summary:
formation enthalpy at 0 K = -463 meV/atom
calculated total energy = -74.4 eV per formula unit



- Number 1 is which compound?
  PmZrPdRu



- Among the records above, which one has the highest calculated total energy?
  PmZrPdRu